Entry 1:
The following is a DFT calculation (PBE) of a relaxed structure of FePPt2Cl.

abc: 4.5313 4.5185 4.5313
angles: 90.00 90.00 90.00
Closest atoms and distances in Å follow each position.
Sites, in units of the cell vectors:
Pt 0.0000 0.0000 0.5000  2 P 2.27
Fe 0.0000 0.5000 0.0000  2 P 2.26
Pt 0.5000 0.0000 0.0000  2 P 2.27
P 0.0000 0.0000 0.0000  2 Fe 2.26, 4 Pt 2.27
Cl 0.5000 0.5000 0.5000  8 Pt 3.20, 4 Fe 3.20

Values from the calculation:
uncorrected formation energy	0.395	eV per atom
M_tot	2.519	μB/f.u.
symmetry	P4/mmm (123)

Entry 2:
The following is a DFT calculation (PBE) of a relaxed structure of Sn4Hg.

abc: 5.5533 5.5533 5.5533
angles: 90.00 90.00 90.00
Closest atoms and distances in Å follow each position.
Sites, in units of the cell vectors:
Hg 0.5000 0.5000 0.5000  6 Sn 2.78
Sn 0.0000 0.5000 0.5000  2 Hg 2.78
Sn 0.0000 0.0000 0.0000  12 Sn 3.93
Sn 0.5000 0.5000 0.0000  2 Hg 2.78
Sn 0.5000 0.0000 0.5000  2 Hg 2.78

Values from the calculation:
energy relative to the lowest polymorph listed for this composition	46.22	kJ/mol of atoms
M_tot	0.000	μB/f.u.
symmetry	Pm-3m (221)